[1]
The following is a PBE calculation of a geometry-optimized Zn2MoRu structure, from the Alexandria database.

abc: 4.3212 4.3212 4.3212
angles: 60.00 60.00 60.00
Last column: nearest neighbours and their distance in Å.
Fractional positions:
Ru1 0.5000 0.5000 0.5000  8 Zn 2.65
Mo1 0.0000 0.0000 0.0000  8 Zn 2.65
Zn1 0.2500 0.2500 0.2500  4 Ru 2.65, 4 Mo 2.65
Zn2 0.7500 0.7500 0.7500  4 Ru 2.65, 4 Mo 2.65

ΔE_f: 25.1 kJ per mole of atoms
Total magnetization: 0.39 μB/f.u.
SG: Fm-3m



[2]
The following is a PBE calculation of a geometry-optimized Zn2MoRu structure, from the Alexandria database.

abc: 2.6964 2.6964 8.0316
angles: 90.00 90.00 90.00
Last column: nearest neighbours and their distance in Å.
Fractional positions:
Mo1 0.5000 0.5000 0.2500  4 Mo 2.70, 8 Zn 2.82
Ru1 0.5000 0.5000 0.7500  4 Ru 2.70, 8 Zn 2.72
Zn1 0.0000 0.0000 0.9909  4 Zn 2.70, 4 Ru 2.72, 4 Mo 2.82
Zn2 0.0000 0.0000 0.5091  4 Zn 2.70, 4 Ru 2.72, 4 Mo 2.82

ΔE_f: 16.9 kJ per mole of atoms
Total magnetization: 1.17 μB/f.u.
SG: P4/mmm



[3]
The following is a PBE calculation of a geometry-optimized ZnMo3Ru structure, from the Alexandria database.

abc: 4.6875 4.6875 4.6875
angles: 90.00 90.00 90.00
Last column: nearest neighbours and their distance in Å.
Fractional positions:
Ru1 0.0000 0.0000 0.0000  6 Mo 2.34
Mo1 0.0000 0.5000 0.0000  2 Ru 2.34
Mo2 0.0000 0.0000 0.5000  2 Ru 2.34
Mo3 0.5000 0.0000 0.0000  2 Ru 2.34
Zn1 0.5000 0.5000 0.5000  12 Mo 3.31

ΔE_f: 153.6 kJ per mole of atoms
Total magnetization: 0.00 μB/f.u.
SG: Pm-3m



[4]
The following is a PBE calculation of a geometry-optimized ZnMo2Ru structure, from the Alexandria database.

abc: 4.7570 4.7570 4.8103
angles: 80.98 80.98 33.95
Last column: nearest neighbours and their distance in Å.
Fractional positions:
Mo1 0.9975 0.9975 0.0108  3 Zn 2.69-2.76, 5 Mo 2.73-2.87, 4 Ru 2.75-2.81
Mo2 0.7574 0.7574 0.7383  3 Ru 2.69-2.77, 5 Mo 2.73-2.87, 4 Zn 2.75-2.81
Ru1 0.4992 0.4992 0.5026  7 Mo 2.69-2.81, 3 Zn 2.75-2.78, 2 Ru 2.78
Zn1 0.2458 0.2458 0.2484  7 Mo 2.69-2.81, 3 Ru 2.75-2.78, 2 Zn 2.78

ΔE_f: 15.5 kJ per mole of atoms
Total magnetization: 0.00 μB/f.u.
SG: Cm



[5]
The following is a PBE calculation of a geometry-optimized Zn2MoRu structure, from the Alexandria database.

abc: 2.6793 2.6793 8.3258
angles: 90.00 90.00 100.74
Last column: nearest neighbours and their distance in Å.
Fractional positions:
Mo1 0.5000 0.5000 0.2500  4 Mo 2.68, 8 Zn 2.74-2.98
Ru1 0.5000 0.5000 0.7500  8 Zn 2.64-2.88, 4 Ru 2.68
Zn1 0.0000 0.0000 0.9921  4 Ru 2.64-2.88, 4 Zn 2.68, 2 Mo 2.74
Zn2 0.0000 0.0000 0.5079  4 Ru 2.64-2.88, 4 Zn 2.68, 2 Mo 2.74

ΔE_f: 17.0 kJ per mole of atoms
Total magnetization: 1.23 μB/f.u.
SG: Cmmm



[6]
The following is a PBE calculation of a geometry-optimized Zn2MoRu2 structure, from the Alexandria database.

abc: 6.9180 6.9180 2.9960
angles: 90.00 90.00 90.00
Last column: nearest neighbours and their distance in Å.
Fractional positions:
Ru1 0.1749 0.6749 0.5000  6 Zn 2.47-2.58
Ru2 0.6749 0.8251 0.5000  6 Zn 2.47-2.58
Ru3 0.8251 0.3251 0.5000  6 Zn 2.47-2.58
Ru4 0.3251 0.1749 0.5000  6 Zn 2.47-2.58
Mo1 0.0000 0.0000 0.0000  4 Zn 2.74, 8 Ru 2.96, 2 Mo 3.00
Mo2 0.5000 0.5000 0.0000  4 Zn 2.74, 8 Ru 2.96, 2 Mo 3.00
Zn1 0.3752 0.8752 0.0000  1 Zn 2.44, 6 Ru 2.47-2.58
Zn2 0.8752 0.6248 0.0000  1 Zn 2.44, 6 Ru 2.47-2.58
Zn3 0.6248 0.1248 0.0000  1 Zn 2.44, 6 Ru 2.47-2.58
Zn4 0.1248 0.3752 0.0000  1 Zn 2.44, 6 Ru 2.47-2.58

ΔE_f: 21.7 kJ per mole of atoms
Total magnetization: 0.00 μB/f.u.
SG: P4/mbm



| no. | density of states at the Fermi level (states/eV per cell) |
| --- | --- |
| 1 | 6.37 |
| 2 | 3.69 |
| 3 | 5.82 |
| 4 | 4.14 |
| 5 | 3.03 |
| 6 | 9.11 |